[1]
5
Lattice="-2.590 -3.213 -2.335 3.876 -2.654 -0.648 -0.867 -2.263 4.076" Properties=species:S:1:pos:R:3 comment="HfZrOs3 (PBE-GGA, relaxed)" m_tot_mub_per_fu=0.0 ef_mev_per_atom=1581 pbc="T T T"
Hf 0.000 0.000 0.000
Os 1.938 -1.327 -0.324
Os -0.434 -1.131 2.038
Os -1.295 -1.607 -1.168
Zr 0.209 -4.065 0.546

***

[2]
8
Lattice="-3.139 1.531 -3.173 -1.604 -4.418 0.411 -3.313 2.092 4.893" Properties=species:S:1:pos:R:3 comment="CoTcGe6 (PBE-GGA, relaxed)" m_tot_mub_per_fu=0.0 ef_mev_per_atom=141 pbc="T T T"
Co -4.028 -0.397 1.065
Tc 0.000 0.000 0.000
Ge -2.855 0.823 2.588
Ge -2.589 0.458 -0.725
Ge -5.202 -1.617 -0.458
Ge -6.031 0.934 1.539
Ge -5.467 -1.253 2.856
Ge -2.025 -1.729 0.592

***

[3]
4
Lattice="1.974 0.000 5.583 -0.987 1.709 5.583 -0.987 -1.709 5.583" Properties=species:S:1:pos:R:3 comment="SnN2F (PBE-GGA, relaxed)" m_tot_mub_per_fu=1.0 relative_energy_ev_per_fu=0.000 raw_formation_energy_ev_per_atom=0.721 pbc="T T T"
N 0.000 0.000 14.955
N 0.000 0.000 1.795
Sn 0.000 0.000 8.375
F 0.000 0.000 0.000

***

[4]
5
Lattice="-3.974 -2.161 -0.600 0.381 -2.459 6.332 -2.229 3.665 1.558" Properties=species:S:1:pos:R:3 comment="BaAg2SeF (PBE-GGA, relaxed)" m_tot_mub_per_fu=0.0 raw_formation_energy_ev_per_atom=-0.763 pbc="T T T"
Se 0.190 -1.230 3.166
Ba -2.911 -0.477 3.644
Ag -1.114 1.833 0.779
Ag -1.987 -1.081 -0.300
F 0.000 0.000 0.000

***

[5]
12
Lattice="-0.135 1.001 3.591 -1.421 -8.153 2.219 12.760 -1.951 1.022" Properties=species:S:1:pos:R:3 comment="Nd3Sm2Dy (PBE-GGA, relaxed)" m_tot_mub_per_fu=0.0 relative_energy_ev_per_fu=0.000 ef_mev_per_atom=51 pbc="T T T"
Nd 7.562 -1.144 3.508
Nd 3.643 -7.960 3.323
Nd 2.246 -4.670 4.291
Nd 8.959 -4.434 2.540
Nd 0.167 -2.690 1.724
Nd 11.037 -6.414 5.107
Sm 5.180 -3.480 2.133
Sm 6.024 -5.624 4.699
Sm 11.143 -1.670 3.789
Sm 0.062 -7.434 3.042
Dy 8.370 -7.804 3.457
Dy 2.835 -1.300 3.374

***

[6]
5
Lattice="-4.897 1.224 -1.594 0.687 -1.990 -3.641 -1.814 -4.500 2.117" Properties=species:S:1:pos:R:3 comment="RbY2VC (PBE-GGA, relaxed)" m_tot_mub_per_fu=2.9 ef_mev_per_atom=576 pbc="T T T"
Y -0.907 -2.250 1.058
Y -2.448 0.612 -0.797
C 0.000 0.000 0.000
Rb -3.012 -2.633 -1.559
V 0.344 -0.995 -1.820